This record from Alexandria via LeMat-Bulk describes an optimized crystal structure of PmPr8Th4. The functional is GGA-PBE.

POSCAR file:
```
PmPr8Th4
1.0
5.9490 3.4347 3.9257
-5.9490 3.4347 3.9257
0.0000 -6.8693 3.9257
Pm Pr Th
1 8 4
Direct
0.0000 0.0000 0.0000
0.1702 0.6666 0.6666
0.2520 0.2520 0.2520
0.3334 0.3334 0.8298
0.3334 0.8298 0.3334
0.6666 0.1702 0.6666
0.6666 0.6666 0.1702
0.7480 0.7480 0.7480
0.8298 0.3334 0.3334
0.0000 0.0000 0.5000
0.0000 0.5000 0.0000
0.5000 0.0000 0.0000
0.5000 0.5000 0.5000
```

Output
- Space-group type: No. 166
- Total moment: 0.0 Bohr magnetons per cell
- Energy: -0.3749 Ry per atom
- E_form: 0.489 eV per atom

=====

This record from Alexandria via LeMat-Bulk describes an optimized crystal structure of Na3Dy5Bi12. The functional is GGA-PBE.

POSCAR file:
```
Na3Dy5Bi12
1.0
-9.3001 9.3001 9.3001
9.3001 -9.3001 9.3001
9.3001 9.3001 -9.3001
Na Dy Bi
12 20 48
Direct
0.1250 0.2500 0.3750
0.1250 0.3750 0.7500
0.2500 0.3750 0.1250
0.2500 0.8750 0.6250
0.3750 0.1250 0.2500
0.3750 0.7500 0.1250
0.6250 0.2500 0.8750
0.6250 0.8750 0.7500
0.7500 0.1250 0.3750
0.7500 0.6250 0.8750
0.8750 0.6250 0.2500
0.8750 0.7500 0.6250
0.0000 0.0000 0.0000
0.0000 0.0000 0.5000
0.0000 0.5000 0.0000
0.0000 0.5000 0.5000
0.1250 0.7500 0.8750
0.1250 0.8750 0.2500
0.2500 0.1250 0.8750
0.2500 0.6250 0.3750
0.3750 0.2500 0.6250
0.3750 0.6250 0.7500
0.5000 0.0000 0.0000
0.5000 0.0000 0.5000
0.5000 0.5000 0.0000
0.5000 0.5000 0.5000
0.6250 0.3750 0.2500
0.6250 0.7500 0.3750
0.7500 0.3750 0.6250
0.7500 0.8750 0.1250
0.8750 0.1250 0.7500
0.8750 0.2500 0.1250
0.0456 0.2256 0.0920
0.0456 0.3200 0.9536
0.0464 0.5920 0.3664
0.0464 0.9544 0.6800
0.0920 0.0456 0.2256
0.0920 0.5464 0.8664
0.1336 0.7256 0.6800
0.1336 0.9080 0.4536
0.1800 0.2256 0.6336
0.1800 0.4544 0.5464
0.2256 0.0920 0.0456
0.2256 0.6336 0.1800
0.2744 0.3200 0.8664
0.2744 0.4544 0.4080
0.3200 0.8664 0.2744
0.3200 0.9536 0.0456
0.3664 0.0464 0.5920
0.3664 0.8200 0.7744
0.4080 0.2744 0.4544
0.4080 0.6336 0.9536
0.4536 0.1336 0.9080
0.4544 0.4080 0.2744
0.4544 0.5464 0.1800
0.4536 0.8200 0.5456
0.5464 0.1800 0.4544
0.5456 0.4536 0.8200
0.5456 0.5920 0.7256
0.5464 0.8664 0.0920
0.5920 0.3664 0.0464
0.5920 0.7256 0.5456
0.6336 0.1800 0.2256
0.6336 0.9536 0.4080
0.6800 0.0464 0.9544
0.6800 0.1336 0.7256
0.7256 0.5456 0.5920
0.7256 0.6800 0.1336
0.7744 0.3664 0.8200
0.7744 0.9080 0.9544
0.8200 0.5456 0.4536
0.8200 0.7744 0.3664
0.8664 0.0920 0.5464
0.8664 0.2744 0.3200
0.9080 0.4536 0.1336
0.9080 0.9544 0.7744
0.9536 0.0456 0.3200
0.9536 0.4080 0.6336
0.9544 0.6800 0.0464
0.9544 0.7744 0.9080
```

Output
- Space-group type: No. 230
- Total moment: 0.0 Bohr magnetons per cell
- Energy: -0.2741 Ry per atom
- E_form: -0.053 eV per atom

=====

This record from Alexandria via LeMat-Bulk describes an optimized crystal structure of UTeRu2. The functional is GGA-PBE.

POSCAR file:
```
UTeRu2
1.0
2.4781 1.4307 3.8276
-2.4781 1.4307 3.8276
0.0000 -2.8614 3.8276
U Te Ru
1 1 2
Direct
0.0000 0.0000 0.0000
0.5000 0.5000 0.5000
0.2033 0.2033 0.2033
0.7967 0.7967 0.7967
```

Output
- Space-group type: No. 166
- Formation energy from raw total energies: -103 meV per atom
- Total moment: 0.5 Bohr magnetons per cell
- Energy: -0.6136 Ry per atom

=====

This record from Alexandria via LeMat-Bulk describes an optimized crystal structure of Nd3Tm8Th. The functional is GGA-PBE.

POSCAR file:
```
Nd3Tm8Th
1.0
-5.4015 5.6663 3.1227
5.4015 -5.6663 3.1227
5.4015 5.6663 -3.1227
Nd Tm Th
3 8 1
Direct
0.0000 0.0000 0.0000
0.0876 0.3382 0.7494
0.5888 0.3382 0.2506
0.0118 0.3445 0.3327
0.0118 0.6791 0.6673
0.0932 0.0075 0.4161
0.0932 0.6771 0.0858
0.5096 0.3370 0.8275
0.5096 0.6821 0.1725
0.5913 0.0075 0.9142
0.5913 0.6771 0.5839
0.4992 0.9992 0.5000
```

Output
- Space-group type: No. 44
- Total moment: 0.0 Bohr magnetons per cell
- Energy: -0.3503 Ry per atom
- E_form: 0.025 eV per atom

=====

This record from Alexandria via LeMat-Bulk describes an optimized crystal structure of Pr2ZnB3Pt12. The functional is GGA-PBE.

POSCAR file:
```
Pr2ZnB3Pt12
1.0
3.9872 2.3020 5.8116
-3.9872 2.3020 5.8116
0.0000 -4.6040 5.8116
Pr Zn B Pt
2 1 3 12
Direct
0.1073 0.1073 0.1073
0.8927 0.8927 0.8927
0.5000 0.5000 0.5000
0.0000 0.5000 0.5000
0.5000 0.0000 0.5000
0.5000 0.5000 0.0000
0.1203 0.6209 0.6209
0.1753 0.1753 0.5879
0.1753 0.5879 0.1753
0.3791 0.3791 0.8797
0.3791 0.8797 0.3791
0.4121 0.8247 0.8247
0.5879 0.1753 0.1753
0.6209 0.1203 0.6209
0.6209 0.6209 0.1203
0.8247 0.4121 0.8247
0.8247 0.8247 0.4121
0.8797 0.3791 0.3791
```

Output
- Space-group type: No. 166
- Total moment: 0.0 Bohr magnetons per cell
- Energy: -0.4544 Ry per atom
- E_form: -0.441 eV per atom

=====

This record from Alexandria via LeMat-Bulk describes an optimized crystal structure of NaSrScCl6. The functional is GGA-PBE.

POSCAR file:
```
NaSrScCl6
1.0
7.0420 0.0000 0.0000
-3.5210 6.0986 0.0000
0.0000 0.0000 12.0855
Na Sr Sc Cl
2 2 2 12
Direct
0.0000 0.0000 0.0000
0.0000 0.0000 0.5000
0.3333 0.6667 0.2500
0.6667 0.3333 0.7500
0.3333 0.6667 0.7500
0.6667 0.3333 0.2500
0.0427 0.3726 0.6306
0.0427 0.6701 0.8694
0.3299 0.3726 0.8694
0.3299 0.9573 0.6306
0.3726 0.0427 0.1306
0.3726 0.3299 0.3694
0.6274 0.6701 0.6306
0.6274 0.9573 0.8694
0.6701 0.0427 0.3694
0.6701 0.6274 0.1306
0.9573 0.3299 0.1306
0.9573 0.6274 0.3694
```

Output
- Space-group type: No. 163
- Formation energy from raw total energies: -2159 meV per atom
- Total moment: 0.0 Bohr magnetons per cell
- Energy: -0.3254 Ry per atom

=====

This record from Alexandria via LeMat-Bulk describes an optimized crystal structure of Mn2FePd8. The functional is GGA-PBE.

POSCAR file:
```
Mn2FePd8
1.0
6.9764 -1.9951 0.0000
6.9764 1.9951 0.0000
-1.7233 0.0000 5.9432
Mn Fe Pd
2 1 8
Direct
0.2235 0.2235 0.1490
0.7765 0.7765 0.8510
0.5000 0.5000 0.5000
0.0427 0.0427 0.2315
0.1414 0.1414 0.6905
0.3218 0.3218 0.5852
0.4041 0.4041 0.0462
0.5959 0.5959 0.9538
0.6782 0.6782 0.4148
0.8586 0.8586 0.3095
0.9573 0.9573 0.7685
```

Output
- Space-group type: No. 12
- Total moment: 13.5 Bohr magnetons per cell
- Energy: -0.4682 Ry per atom
- E_form: -0.157 eV per atom
- ΔE to the lowest computed polymorph: 0.0 meV/atom

=====

This record from Alexandria via LeMat-Bulk describes an optimized crystal structure of SmCd2Cu9. The functional is GGA-PBE.

POSCAR file:
```
SmCd2Cu9
1.0
2.5469 1.4705 8.0309
-2.5469 1.4705 8.0309
0.0000 -2.9409 8.0309
Sm Cd Cu
1 2 9
Direct
0.0000 0.0000 0.0000
0.1438 0.1438 0.1438
0.8562 0.8562 0.8562
0.0819 0.5852 0.5852
0.3334 0.3334 0.3334
0.4148 0.4148 0.9181
0.4148 0.9181 0.4148
0.5000 0.5000 0.5000
0.5852 0.0819 0.5852
0.5852 0.5852 0.0819
0.6666 0.6666 0.6666
0.9181 0.4148 0.4148
```

Output
- Space-group type: No. 166
- Total moment: 0.0 Bohr magnetons per cell
- Energy: -0.2740 Ry per atom
- E_form: -0.110 eV per atom

=====

This record from Alexandria via LeMat-Bulk describes an optimized crystal structure of Tb3HoTh5. The functional is GGA-PBE.

POSCAR file:
```
Tb3HoTh5
1.0
-4.6036 4.6036 7.1004
4.6036 -4.6036 7.1004
4.6036 4.6036 -7.1004
Tb Ho Th
6 2 10
Direct
0.1042 0.6042 0.7084
0.2500 0.2500 0.0000
0.3958 0.1042 0.5000
0.6042 0.8958 0.5000
0.7500 0.7500 0.0000
0.8958 0.3958 0.2916
0.2500 0.7500 0.5000
0.7500 0.2500 0.5000
0.0000 0.0000 0.0000
0.0816 0.1626 0.5000
0.1626 0.6626 0.0811
0.3374 0.4184 0.5000
0.4184 0.9184 0.0811
0.5000 0.5000 0.0000
0.5816 0.0816 0.9189
0.6626 0.5816 0.5000
0.8374 0.3374 0.9189
0.9184 0.8374 0.5000
```

Output
- Space-group type: No. 140
- Total moment: 0.1 Bohr magnetons per cell
- Energy: -0.4209 Ry per atom
- E_form: 0.448 eV per atom

=====

This record from Alexandria via LeMat-Bulk describes an optimized crystal structure of NiHg3B. The functional is GGA-PBE.

POSCAR file:
```
NiHg3B
1.0
4.5484 0.0000 0.0000
0.0000 4.5484 0.0000
0.0000 0.0000 4.5484
Ni Hg B
1 3 1
Direct
0.0000 0.0000 0.0000
0.0000 0.5000 0.5000
0.5000 0.0000 0.5000
0.5000 0.5000 0.0000
0.5000 0.5000 0.5000
```

Output
- Space-group type: No. 221
- Total moment: 0.0 Bohr magnetons per cell
- Energy: -0.1317 Ry per atom
- E_form: 0.881 eV per atom
- ΔE to the lowest computed polymorph: 0.0 meV/atom

=====

This record from Alexandria via LeMat-Bulk describes an optimized crystal structure of Pu5In3Ag3. The functional is GGA-PBE.

POSCAR file:
```
Pu5In3Ag3
1.0
10.3139 0.0000 0.0000
-5.1570 8.9321 0.0000
0.0000 0.0000 3.0141
Pu In Ag
5 3 3
Direct
0.0000 0.6606 0.0000
0.3333 0.6667 0.0000
0.3394 0.3394 0.0000
0.6606 0.0000 0.0000
0.6667 0.3333 0.0000
0.0000 0.3869 0.5000
0.3869 0.0000 0.5000
0.6131 0.6131 0.5000
0.0000 0.1558 0.0000
0.1558 0.0000 0.0000
0.8442 0.8442 0.0000
```

Output
- Space-group type: No. 189
- Total moment: 30.6 Bohr magnetons per cell
- Energy: -0.5794 Ry per atom
- E_form: 0.156 eV per atom

=====

This record from Alexandria via LeMat-Bulk describes an optimized crystal structure of Y2TmTc. The functional is GGA-PBE.

POSCAR file:
```
Y2TmTc
1.0
7.4004 0.0000 0.0000
0.0000 9.1872 0.0000
0.0000 0.0000 6.2515
Y Tm Tc
8 4 4
Direct
0.1769 0.0636 0.1606
0.1769 0.4364 0.1606
0.3231 0.5636 0.6606
0.3231 0.9364 0.6606
0.6769 0.0636 0.3394
0.6769 0.4364 0.3394
0.8231 0.5636 0.8394
0.8231 0.9364 0.8394
0.0439 0.2500 0.6315
0.4561 0.7500 0.1315
0.5439 0.2500 0.8685
0.9561 0.7500 0.3685
0.1153 0.7500 0.9657
0.3847 0.2500 0.4657
0.6153 0.7500 0.5343
0.8847 0.2500 0.0343
```

Output
- Space-group type: No. 62
- Total moment: 0.0 Bohr magnetons per cell
- Energy: -0.5177 Ry per atom
- E_form: -0.102 eV per atom
- ΔE to the lowest computed polymorph: 0.0 meV/atom

=====

This record from Alexandria via LeMat-Bulk describes an optimized crystal structure of Tl2RhIO8. The functional is GGA-PBE.

POSCAR file:
```
Tl2RhIO8
1.0
4.9970 0.0000 0.0000
0.0000 6.3682 0.0000
-0.4117 0.0000 5.1903
Tl Rh I O
2 1 1 8
Direct
0.0000 0.2423 0.0000
0.0000 0.7577 0.0000
0.5000 0.0000 0.5000
0.5000 0.5000 0.5000
0.2525 0.5000 0.1877
0.2717 0.0000 0.1685
0.2981 0.2601 0.6336
0.2981 0.7399 0.6336
0.7019 0.2601 0.3664
0.7019 0.7399 0.3664
0.7283 0.0000 0.8315
0.7475 0.5000 0.8123
```

Output
- Space-group type: No. 10
- Formation energy from raw total energies: -443 meV per atom
- Total moment: 0.2 Bohr magnetons per cell
- Energy: -0.3590 Ry per atom

=====

This record from Alexandria via LeMat-Bulk describes an optimized crystal structure of Ac3P2Pd4. The functional is GGA-PBE.

POSCAR file:
```
Ac3P2Pd4
1.0
5.6610 -2.2036 0.0000
5.6610 2.2036 0.0000
-2.2363 0.0000 8.4862
Ac P Pd
3 2 4
Direct
0.0000 0.0000 0.0000
0.3354 0.3354 0.3348
0.6646 0.6646 0.6652
0.3896 0.3896 0.7119
0.6104 0.6104 0.2881
0.0591 0.0591 0.3740
0.2840 0.2840 0.9247
0.7160 0.7160 0.0753
0.9409 0.9409 0.6260
```

Output
- Space-group type: No. 12
- Total moment: 0.0 Bohr magnetons per cell
- Energy: -0.4369 Ry per atom
- E_form: -1.065 eV per atom

=====

This record from Alexandria via LeMat-Bulk describes an optimized crystal structure of LuTaRu2. The functional is GGA-PBE.

POSCAR file:
```
LuTaRu2
1.0
0.0000 3.2377 3.2377
3.2377 0.0000 3.2377
3.2377 3.2377 0.0000
Lu Ta Ru
1 1 2
Direct
0.0000 0.0000 0.0000
0.5000 0.5000 0.5000
0.2500 0.2500 0.2500
0.7500 0.7500 0.7500
```

Output
- Space-group type: No. 225
- Total moment: 0.0 Bohr magnetons per cell
- Energy: -0.6789 Ry per atom
- E_form: -0.506 eV per atom
- ΔE to the lowest computed polymorph: 38.2 meV/atom

=====

This record from Alexandria via LeMat-Bulk describes an optimized crystal structure of Ho4Cd5Au6. The functional is GGA-PBE.

POSCAR file:
```
Ho4Cd5Au6
1.0
1.9544 -11.5330 0.0000
1.9544 11.5330 0.0000
0.0000 0.0000 15.1380
Ho Cd Au
8 10 12
Direct
0.0191 0.9809 0.5000
0.0514 0.9486 0.7730
0.1340 0.8660 0.2748
0.1790 0.8210 0.9338
0.8210 0.1790 0.4338
0.8660 0.1340 0.7748
0.9486 0.0514 0.2730
0.9809 0.0191 0.0000
0.1777 0.8223 0.6113
0.3063 0.6937 0.6085
0.3271 0.6729 0.2651
0.3603 0.6397 0.9560
0.4641 0.5359 0.6611
0.5359 0.4641 0.1611
0.6397 0.3603 0.4560
0.6729 0.3271 0.7651
0.6937 0.3063 0.1085
0.8223 0.1777 0.1113
0.1022 0.8978 0.0800
0.2290 0.7710 0.4369
0.2690 0.7310 0.7856
0.4161 0.5839 0.1235
0.4219 0.5781 0.4209
0.4599 0.5401 0.8479
0.5401 0.4599 0.3479
0.5781 0.4219 0.9209
0.5839 0.4161 0.6235
0.7310 0.2690 0.2856
0.7710 0.2290 0.9369
0.8978 0.1022 0.5800
```

Output
- Space-group type: No. 36
- Total moment: 0.0 Bohr magnetons per cell
- Energy: -0.2496 Ry per atom
- E_form: -0.559 eV per atom

=====

This record from Alexandria via LeMat-Bulk describes an optimized crystal structure of HoTl2Zn2Te4. The functional is GGA-PBE.

POSCAR file:
```
HoTl2Zn2Te4
1.0
7.8845 -2.1525 0.0000
7.8845 2.1525 0.0000
-2.3241 0.0000 8.2137
Ho Tl Zn Te
1 2 2 4
Direct
0.0000 0.0000 0.0000
0.1325 0.1325 0.5440
0.8675 0.8675 0.4560
0.3340 0.3340 0.0209
0.6660 0.6660 0.9791
0.2042 0.2042 0.1828
0.4878 0.4878 0.2523
0.5122 0.5122 0.7477
0.7958 0.7958 0.8172
```

Output
- Space-group type: No. 12
- Formation energy from raw total energies: -580 meV per atom
- Total moment: 0.0 Bohr magnetons per cell
- Energy: -0.2421 Ry per atom